A relaxed structure of Rb2AgI2. Source: the Alexandria database, functional PBE.

Output
The space group is I4/mmm. For the distance to the lowest polymorph of the same formula, the calculation gives 62 meV/atom.

a = 7.2538 Å, b = 7.2538 Å, c = 7.2538 Å
α = 120.32°, β = 120.32°, γ = 89.45°
Last column: nearest neighbours and their distance in Å.
Fractional positions:
Rb 0.2500 0.7500 0.5000  4 I 3.63
Rb 0.7500 0.2500 0.5000  4 I 3.63
Ag 0.0000 0.0000 0.0000  2 I 3.00
I 0.2914 0.2914 0.0000  1 Ag 3.00
I 0.7086 0.7086 0.0000  1 Ag 3.00


A relaxed structure of RbAgI2. Source: the Alexandria database, functional PBE.

Output
The space group is Pnma. The total energy is -2.594 eV/atom.

a = 8.3143 Å, b = 4.7917 Å, c = 17.5345 Å
α = 90.00°, β = 90.00°, γ = 90.00°
Last column: nearest neighbours and their distance in Å.
Fractional positions:
Rb 0.0311 0.2500 0.1614  7 I 3.66-4.03
Rb 0.4689 0.7500 0.6614  7 I 3.66-4.03
Rb 0.5311 0.2500 0.3386  7 I 3.66-4.03
Rb 0.9689 0.7500 0.8386  7 I 3.66-4.03
Ag 0.0979 0.7500 0.4506  4 I 2.80-2.99
Ag 0.4021 0.2500 0.9506  4 I 2.80-2.99
Ag 0.5979 0.7500 0.0494  4 I 2.80-2.99
Ag 0.9021 0.2500 0.5494  4 I 2.80-2.99
I 0.2086 0.7500 0.2996  1 Ag 2.80
I 0.2453 0.2500 0.5244  3 Ag 2.89-2.99
I 0.2547 0.7500 0.0244  3 Ag 2.89-2.99
I 0.2914 0.2500 0.7996  1 Ag 2.80
I 0.7086 0.7500 0.2004  1 Ag 2.80
I 0.7453 0.2500 0.9756  3 Ag 2.89-2.99
I 0.7547 0.7500 0.4756  3 Ag 2.89-2.99
I 0.7914 0.2500 0.7004  1 Ag 2.80


A relaxed structure of RbAg2I2. Source: the Alexandria database, functional PBE.

Output
The space group is I4/mmm. The total energy is -2.313 eV/atom.

a = 9.5659 Å, b = 9.5659 Å, c = 9.5659 Å
α = 153.86°, β = 153.86°, γ = 37.30°
Last column: nearest neighbours and their distance in Å.
Fractional positions:
Rb 0.0000 0.0000 0.0000  8 I 3.73
Ag 0.2500 0.7500 0.5000  4 Ag 3.06, 4 I 3.23
Ag 0.7500 0.2500 0.5000  4 Ag 3.06, 4 I 3.23
I 0.3821 0.3821 0.0000  4 Ag 3.23
I 0.6179 0.6179 0.0000  4 Ag 3.23


A relaxed structure of Rb3AgI. Source: the Alexandria database, functional PBE.

Output
The space group is Pm-3m. For the distance to the lowest polymorph of the same formula, the calculation gives 0 meV/atom.

a = 6.7609 Å, b = 6.7609 Å, c = 6.7609 Å
α = 90.00°, β = 90.00°, γ = 90.00°
Last column: nearest neighbours and their distance in Å.
Fractional positions:
Rb 0.0000 0.0000 0.5000  2 Ag 3.38
Rb 0.0000 0.5000 0.0000  2 Ag 3.38
Rb 0.5000 0.0000 0.0000  2 Ag 3.38
Ag 0.0000 0.0000 0.0000  6 Rb 3.38
I 0.5000 0.5000 0.5000  12 Rb 4.78


A relaxed structure of Rb5AgI6. Source: the Alexandria database, functional PBE.

Output
The space group is C2/m. The total energy is -2.661 eV/atom.

a = 9.0484 Å, b = 9.0484 Å, c = 8.9387 Å
α = 98.80°, β = 98.80°, γ = 120.76°
Last column: nearest neighbours and their distance in Å.
Fractional positions:
Rb 0.0000 0.0000 0.0000  4 I 3.63
Rb 0.1742 0.8258 0.5000  6 I 3.62-3.86
Rb 0.3349 0.6651 0.0000  6 I 3.62-3.81
Rb 0.6651 0.3349 0.0000  6 I 3.62-3.81
Rb 0.8258 0.1742 0.5000  6 I 3.62-3.86
Ag 0.5000 0.5000 0.5000  2 I 2.78
I 0.0782 0.4066 0.2423  5 Rb 3.62-3.71, 1 Ag 3.74
I 0.3038 0.3038 0.6885  1 Ag 2.78
I 0.4066 0.0782 0.2423  5 Rb 3.62-3.71, 1 Ag 3.74
I 0.5934 0.9218 0.7577  5 Rb 3.62-3.71, 1 Ag 3.74
I 0.6962 0.6962 0.3115  1 Ag 2.78
I 0.9218 0.5934 0.7577  5 Rb 3.62-3.71, 1 Ag 3.74


A relaxed structure of Rb2AgI2. Source: the Alexandria database, functional PBE.

Output
The space group is P4/mbm. For the distance to the lowest polymorph of the same formula, the calculation gives 0 meV/atom.

a = 9.6117 Å, b = 9.6117 Å, c = 4.7877 Å
α = 90.00°, β = 90.00°, γ = 90.00°
Last column: nearest neighbours and their distance in Å.
Fractional positions:
Rb 0.1488 0.3512 0.0000  6 I 3.55-3.80
Rb 0.3512 0.8512 0.0000  6 I 3.55-3.80
Rb 0.6488 0.1488 0.0000  6 I 3.55-3.80
Rb 0.8512 0.6488 0.0000  6 I 3.55-3.80
Ag 0.0000 0.0000 0.5000  4 I 3.62
Ag 0.5000 0.5000 0.5000  4 I 3.62
I 0.1584 0.6584 0.5000  6 Rb 3.55-3.80, 2 Ag 3.62
I 0.3416 0.1584 0.5000  6 Rb 3.55-3.80, 2 Ag 3.62
I 0.6584 0.8416 0.5000  6 Rb 3.55-3.80, 2 Ag 3.62
I 0.8416 0.3416 0.5000  6 Rb 3.55-3.80, 2 Ag 3.62


no.,M_tot (μB per cell)
1,0.00
2,0.00
3,0.00
4,0.00
5,0.00
6,0.00